Record 1
# CaTaH

A geometry-optimized CaTaH structure (PBE-GGA, Alexandria).

**VASP energy**: -33.012 eV per cell
**Energy relative to the lowest polymorph listed for this composition**: 316 meV per atom

a b c (Å): 4.2017 4.2017 5.5363
angles (deg): 90.00 90.00 90.00
Last column: nearest neighbours and their distance in Å.
Sites, in units of the cell vectors:
Ca 0.5000 0.5000 0.5000  4 H 2.22
Ca 0.0000 0.0000 0.5000  4 H 2.22
Ta 0.5000 0.0000 0.9703  1 H 1.88
Ta 0.0000 0.5000 0.0297  1 H 1.88
H 0.0000 0.5000 0.3688  1 Ta 1.88
H 0.5000 0.0000 0.6312  1 Ta 1.88

---

Record 2
# BaIn6Pb12

A geometry-optimized BaIn6Pb12 structure (PBE-GGA, Alexandria).

**VASP energy**: -62.518 eV per cell
**ΔE_f**: 0.02 eV/atom

a b c (Å): 9.2263 9.2263 9.2263
angles (deg): 109.47 109.47 109.47
Last column: nearest neighbours and their distance in Å.
Sites, in units of the cell vectors:
Pb 0.7415 0.5249 0.7834  2 In 3.02-3.29
Pb 0.2585 0.4751 0.2166  2 In 3.02-3.29
Pb 0.7834 0.2585 0.0420  2 In 3.02-3.29
Pb 0.0420 0.7834 0.2585  2 In 3.02-3.29
Pb 0.2585 0.0420 0.7834  2 In 3.02-3.29
Pb 0.2166 0.2585 0.4751  2 In 3.02-3.29
Pb 0.7415 0.9580 0.2166  2 In 3.02-3.29
Pb 0.4751 0.2166 0.2585  2 In 3.02-3.29
Pb 0.9580 0.2166 0.7415  2 In 3.02-3.29
Pb 0.2166 0.7415 0.9580  2 In 3.02-3.29
Pb 0.5249 0.7834 0.7415  2 In 3.02-3.29
Pb 0.7834 0.7415 0.5249  2 In 3.02-3.29
In 0.8644 0.3644 0.5000  1 In 2.89, 2 Pb 3.02
In 0.5000 0.1356 0.6356  1 In 2.89, 2 Pb 3.02
In 0.3644 0.5000 0.8644  1 In 2.89, 2 Pb 3.02
In 0.6356 0.5000 0.1356  1 In 2.89, 2 Pb 3.02
In 0.1356 0.6356 0.5000  1 In 2.89, 2 Pb 3.02
In 0.5000 0.8644 0.3644  1 In 2.89, 2 Pb 3.02
Ba 0.0000 0.0000 0.0000  12 Pb 3.59

---

Record 3
# Te5Br4

A geometry-optimized Te5Br4 structure (PBE-GGA, Alexandria).

**Energy relative to the elements, uncorrected**: 10 kJ per mole of atoms
**VASP energy**: -43.023 eV per cell
**Energy relative to the lowest polymorph listed for this composition**: 0 meV per atom

a b c (Å): 9.1468 9.1468 7.8154
angles (deg): 90.00 90.00 120.00
Last column: nearest neighbours and their distance in Å.
Sites, in units of the cell vectors:
Br 0.0000 0.0000 0.0000  6 Br 3.23
Br 0.7193 0.7193 0.2500  1 Te 2.55
Br 0.2807 0.0000 0.2500  1 Te 2.55
Br 0.7193 0.0000 0.7500  1 Te 2.55
Br 0.2807 0.2807 0.7500  1 Te 2.55
Br 0.0000 0.7193 0.7500  1 Te 2.55
Br 0.0000 0.0000 0.5000  6 Br 3.23
Br 0.0000 0.2807 0.2500  1 Te 2.55
Te 0.3333 0.6667 0.0000  6 Te 3.33
Te 0.0000 0.5595 0.2500  1 Br 2.55
Te 0.3333 0.6667 0.5000  6 Te 3.33
Te 0.6667 0.3333 0.5000  6 Te 3.33
Te 0.5595 0.0000 0.2500  1 Br 2.55
Te 0.5595 0.5595 0.7500  1 Br 2.55
Te 0.4405 0.4405 0.2500  1 Br 2.55
Te 0.0000 0.4405 0.7500  1 Br 2.55
Te 0.6667 0.3333 0.0000  6 Te 3.33
Te 0.4405 0.0000 0.7500  1 Br 2.55

---

Record 4
# Sm6Co2SCl3

A geometry-optimized Sm6Co2SCl3 structure (PBE-GGA, Alexandria).

**Energy relative to the elements, uncorrected**: -110 kJ per mole of atoms
**VASP energy**: -65.882 eV per cell

a b c (Å): 6.9541 6.9541 7.5721
angles (deg): 98.78 98.78 119.97
Last column: nearest neighbours and their distance in Å.
Sites, in units of the cell vectors:
Co 0.6673 0.3327 0.0000  6 Sm 2.68
Co 0.3327 0.6673 0.0000  6 Sm 2.68
Sm 0.0681 0.4218 0.2028  2 Co 2.68, 1 S 2.86
Sm 0.2869 0.2869 0.7984  2 Co 2.68, 1 S 2.86
Sm 0.5782 0.9319 0.7972  2 Co 2.68, 1 S 2.86
Sm 0.9319 0.5782 0.7972  2 Co 2.68, 1 S 2.86
Sm 0.4218 0.0681 0.2028  2 Co 2.68, 1 S 2.86
Sm 0.7131 0.7131 0.2016  2 Co 2.68, 1 S 2.86
Cl 0.8387 0.1613 0.5000  6 Sm 3.09-3.22
Cl 0.1613 0.8387 0.5000  6 Sm 3.09-3.22
Cl 0.5000 0.5000 0.5000  6 Sm 3.06-3.21
S 0.0000 0.0000 0.0000  6 Sm 2.86